Entry from the Alexandria database: crystalline YBeAu2C at its relaxed geometry (PBE).

abc: 4.9496 3.4509 4.9496
angles: 90.00 90.00 90.00
With the nearest neighbours (Å) after each atom.
Sites, in units of the cell vectors:
Y 0.5000 0.5000 0.5000  8 Au 3.02
Be 0.0000 0.5000 0.0000  2 C 1.73
C 0.0000 0.0000 0.0000  2 Be 1.73
Au 0.0000 0.0000 0.5000  2 C 2.47
Au 0.5000 0.0000 0.0000  2 C 2.47

Properties
calculated volume: 16.91 A^3/atom
total magnetic moment: 0.0 μB/f.u.
theoretical density: 9.90 g/cm³
energy of formation from the pure elements: 0.24 eV/atom
SG: P4/mmm, No. 123
crystal system: tetragonal

Entry from the Alexandria database: crystalline CaBe3Au6 at its relaxed geometry (PBE).

abc: 5.7185 5.7185 6.9178
angles: 90.00 114.41 120.00
With the nearest neighbours (Å) after each atom.
Sites, in units of the cell vectors:
Ca 0.9300 0.9650 0.8950  1 Be 2.93, 9 Au 3.13-3.16
Be 0.6474 0.3237 0.9710  6 Au 2.41-2.43
Be 0.3177 0.6588 0.9765  6 Au 2.39-2.44
Be 0.2517 0.1259 0.3776  6 Au 2.46-2.48
Au 0.2823 0.3908 0.6799  3 Be 2.43-2.48
Au 0.1648 0.6760 0.2467  3 Be 2.39-2.46
Au 0.7579 0.0818 0.2467  3 Be 2.39-2.46
Au 0.2892 0.8915 0.6799  3 Be 2.43-2.48
Au 0.7884 0.3976 0.6799  3 Be 2.43-2.48
Au 0.5706 0.4888 0.2467  3 Be 2.39-2.46

Properties
calculated volume: 17.22 A^3/atom
total magnetic moment: 0.0 μB/f.u.
theoretical density: 12.05 g/cm³
energy of formation from the pure elements: -0.27 eV/atom
SG: R3, No. 146
crystal system: trigonal

Entry from the Alexandria database: crystalline CaBeAu2 at its relaxed geometry (PBE).

abc: 4.4996 3.9856 4.7728
angles: 90.04 90.00 90.00
With the nearest neighbours (Å) after each atom.
Sites, in units of the cell vectors:
Be 0.0000 0.2491 0.4582  4 Au 2.32-2.45
Ca 0.5000 0.7503 0.7891  8 Au 3.04-3.18, 4 Be 3.39-3.40
Au 0.0000 0.2502 0.9445  2 Be 2.32-2.45
Au 0.5000 0.2504 0.3082  2 Be 2.36

Properties
calculated volume: 21.40 A^3/atom
total magnetic moment: 0.0 μB/f.u.
theoretical density: 8.59 g/cm³
energy of formation from the pure elements: -0.40 eV/atom
SG: Pm, No. 6
crystal system: monoclinic

Entry from the Alexandria database: crystalline CaBeAu4 at its relaxed geometry (PBE).

abc: 5.9166 5.9166 7.2270
angles: 90.00 90.00 90.00
With the nearest neighbours (Å) after each atom.
Sites, in units of the cell vectors:
Ca 0.5000 0.0000 0.5000  8 Au 3.25
Ca 0.0000 0.5000 0.5000  8 Au 3.25
Be 0.5000 0.5000 0.0000  6 Au 2.22-2.27
Be 0.0000 0.0000 0.0000  6 Au 2.22-2.27
Au 0.6608 0.1608 0.0000  2 Be 2.22
Au 0.8392 0.6608 0.0000  2 Be 2.22
Au 0.1608 0.3392 0.0000  2 Be 2.22
Au 0.3392 0.8392 0.0000  2 Be 2.22
Au 0.0000 0.0000 0.3140  1 Be 2.27
Au 0.5000 0.5000 0.6860  1 Be 2.27
Au 0.0000 0.0000 0.6860  1 Be 2.27
Au 0.5000 0.5000 0.3140  1 Be 2.27

Properties
calculated volume: 21.08 A^3/atom
total magnetic moment: 0.0 μB/f.u.
theoretical density: 10.99 g/cm³
energy of formation from the pure elements: -0.29 eV/atom
energy above the lowest structure with this stoichiometry: 132 meV per atom
SG: P4/mbm, No. 127
crystal system: tetragonal

Entry from the Alexandria database: crystalline CaBeAu3 at its relaxed geometry (PBE).

abc: 5.3281 6.3659 6.3656
angles: 120.00 90.00 90.00
With the nearest neighbours (Å) after each atom.
Sites, in units of the cell vectors:
Ca 0.7500 0.6667 0.3334  12 Au 3.15-3.19
Ca 0.2500 0.3333 0.6666  12 Au 3.15-3.19
Be 0.0000 0.0000 0.0000  6 Au 2.40, 2 Be 2.66
Be 0.5000 0.0000 0.0000  6 Au 2.40, 2 Be 2.66
Au 0.7500 0.6373 0.8187  2 Be 2.40
Au 0.2500 0.8186 0.6373  2 Be 2.40
Au 0.2500 0.3627 0.1813  2 Be 2.40
Au 0.7500 0.1814 0.3627  2 Be 2.40
Au 0.2500 0.8186 0.1813  2 Be 2.40
Au 0.7500 0.1814 0.8187  2 Be 2.40

Properties
calculated volume: 18.70 A^3/atom
total magnetic moment: 0.0 μB/f.u.
theoretical density: 11.37 g/cm³
energy of formation from the pure elements: -0.51 eV/atom
energy above the lowest structure with this stoichiometry: 0 meV per atom
SG: P6_3/mmc, No. 194
crystal system: hexagonal

Entry from the Alexandria database: crystalline CaBe4Au8 at its relaxed geometry (PBE).

abc: 6.0911 6.0911 6.0911
angles: 89.96 89.96 89.96
With the nearest neighbours (Å) after each atom.
Sites, in units of the cell vectors:
Ca 0.0000 0.0000 0.0000  8 Au 2.80
Be 0.5000 0.5000 0.5000  8 Au 2.47-2.48
Be 0.5000 0.5000 0.0000  8 Au 2.59
Be 0.0000 0.5000 0.5000  8 Au 2.59
Be 0.5000 0.0000 0.5000  8 Au 2.59
Au 0.7342 0.2655 0.2655  4 Be 2.47-2.59
Au 0.2655 0.2655 0.7342  4 Be 2.47-2.59
Au 0.2655 0.7342 0.2655  4 Be 2.47-2.59
Au 0.2653 0.2653 0.2653  4 Be 2.48-2.59
Au 0.7347 0.7347 0.7347  4 Be 2.48-2.59
Au 0.7345 0.7345 0.2658  4 Be 2.47-2.59
Au 0.7345 0.2658 0.7345  4 Be 2.47-2.59
Au 0.2658 0.7345 0.7345  4 Be 2.47-2.59

Properties
calculated volume: 17.38 A^3/atom
total magnetic moment: 0.0 μB/f.u.
theoretical density: 12.14 g/cm³
energy of formation from the pure elements: -0.02 eV/atom
energy above the lowest structure with this stoichiometry: 222 meV per atom
SG: Pm-3m, No. 221
crystal system: cubic

Entry from the Alexandria database: crystalline CaBeAu2 at its relaxed geometry (PBE).

abc: 3.3895 3.5086 6.8389
angles: 70.99 90.00 90.00
With the nearest neighbours (Å) after each atom.
Sites, in units of the cell vectors:
Be 0.5000 0.2500 0.2500  4 Au 2.36
Ca 0.5000 0.7500 0.7500  8 Au 3.10-3.18, 2 Be 3.30, 2 Ca 3.39
Au 0.0000 0.0760 0.0553  2 Be 2.36
Au 0.0000 0.4240 0.4447  2 Be 2.36

Properties
calculated volume: 19.22 A^3/atom
total magnetic moment: 0.0 μB/f.u.
theoretical density: 9.57 g/cm³
energy of formation from the pure elements: -0.34 eV/atom
SG: P2/m, No. 10
crystal system: monoclinic

Entry from the Alexandria database: crystalline Ca2BeAu at its relaxed geometry (PBE).

abc: 4.8642 4.8642 4.8642
angles: 118.98 118.98 91.78
With the nearest neighbours (Å) after each atom.
Sites, in units of the cell vectors:
Be 0.7500 0.2500 0.5000  4 Au 2.99, 4 Ca 2.99
Ca 0.0000 0.0000 0.0000  4 Ca 2.99, 4 Be 2.99
Ca 0.2500 0.7500 0.5000  4 Ca 2.99, 4 Au 2.99
Au 0.5000 0.5000 0.0000  4 Be 2.99, 4 Ca 2.99

Properties
calculated volume: 20.65 A^3/atom
total magnetic moment: 0.0 μB/f.u.
theoretical density: 5.75 g/cm³
energy of formation from the pure elements: -0.02 eV/atom
SG: I-4m2, No. 119
crystal system: tetragonal

Entry from the Alexandria database: crystalline CaBe6Au6 at its relaxed geometry (PBE).

abc: 4.9121 6.5884 6.5884
angles: 80.52 68.11 68.11
With the nearest neighbours (Å) after each atom.
Sites, in units of the cell vectors:
Ca 0.0000 0.0000 0.0000  8 Au 2.82-2.99
Be 0.0000 0.5000 0.0000  4 Be 2.46-2.52, 6 Au 2.54-2.61
Be 0.5000 0.5000 0.0000  4 Be 2.46-2.52, 6 Au 2.54-2.61
Be 0.0000 0.0000 0.5000  4 Be 2.46-2.52, 6 Au 2.54-2.61
Be 0.5000 0.0000 0.5000  4 Be 2.46-2.52, 6 Au 2.54-2.61
Be 0.5000 0.7604 0.2396  4 Be 2.52, 6 Au 2.57-2.62
Be 0.5000 0.2396 0.7604  4 Be 2.52, 6 Au 2.57-2.62
Au 0.3412 0.6588 0.6588  6 Be 2.58-2.62, 3 Au 2.79-2.84
Au 0.6588 0.3412 0.3412  6 Be 2.58-2.62, 3 Au 2.79-2.84
Au 0.0000 0.3317 0.6683  6 Be 2.58-2.61, 1 Ca 2.82, 1 Au 2.87
Au 0.0000 0.6683 0.3317  6 Be 2.58-2.61, 1 Ca 2.82, 1 Au 2.87
Au 0.3215 0.1785 0.1785  6 Be 2.54-2.57
Au 0.6785 0.8215 0.8215  6 Be 2.54-2.57

Properties
calculated volume: 14.12 A^3/atom
total magnetic moment: 0.0 μB/f.u.
theoretical density: 11.55 g/cm³
energy of formation from the pure elements: -0.24 eV/atom
SG: Immm, No. 71
crystal system: orthorhombic

Entry from the Alexandria database: crystalline CaBe3Au10 at its relaxed geometry (PBE).

abc: 8.7930 8.7930 8.7930
angles: 60.00 60.00 60.00
With the nearest neighbours (Å) after each atom.
Sites, in units of the cell vectors:
Ca 0.2500 0.2500 0.2500  4 Au 2.93
Ca 0.7500 0.7500 0.7500  4 Au 2.93
Be 0.7344 0.7344 0.2656  8 Au 2.42-2.50
Be 0.7344 0.2656 0.7344  8 Au 2.42-2.50
Be 0.2656 0.7344 0.7344  8 Au 2.42-2.50
Be 0.2656 0.2656 0.7344  8 Au 2.42-2.50
Be 0.7344 0.2656 0.2656  8 Au 2.42-2.50
Be 0.2656 0.7344 0.2656  8 Au 2.42-2.50
Au 0.0000 0.0000 0.3387  2 Be 2.42
Au 0.0000 0.3387 0.0000  2 Be 2.42
Au 0.3387 0.0000 0.0000  2 Be 2.42
Au 0.6613 0.3387 0.0000  2 Be 2.42
Au 0.3862 0.3862 0.3862  3 Be 2.50
Au 0.1587 0.6138 0.6138  3 Be 2.50
Au 0.3862 0.8413 0.3862  3 Be 2.50
Au 0.6613 0.0000 0.3387  2 Be 2.42
Au 0.3862 0.3862 0.8413  3 Be 2.50
Au 0.8413 0.3862 0.3862  3 Be 2.50
Au 0.6138 0.6138 0.1587  3 Be 2.50
Au 0.0000 0.0000 0.6613  2 Be 2.42
Au 0.3387 0.6613 0.0000  2 Be 2.42
Au 0.0000 0.6613 0.3387  2 Be 2.42
Au 0.0000 0.3387 0.6613  2 Be 2.42
Au 0.6613 0.0000 0.0000  2 Be 2.42
Au 0.6138 0.6138 0.6138  3 Be 2.50
Au 0.0000 0.6613 0.0000  2 Be 2.42
Au 0.6138 0.1587 0.6138  3 Be 2.50
Au 0.3387 0.0000 0.6613  2 Be 2.42

Properties
calculated volume: 17.17 A^3/atom
total magnetic moment: 0.0 μB/f.u.
theoretical density: 14.07 g/cm³
energy of formation from the pure elements: -0.27 eV/atom
SG: Fm-3m, No. 225
crystal system: cubic

Entry from the Alexandria database: crystalline CaBeAu3 at its relaxed geometry (PBE).

abc: 4.6020 4.6020 4.6020
angles: 90.00 90.00 90.00
With the nearest neighbours (Å) after each atom.
Sites, in units of the cell vectors:
Be 0.0000 0.0000 0.0000  6 Au 2.30
Ca 0.5000 0.5000 0.5000  12 Au 3.25
Au 0.0000 0.5000 0.0000  2 Be 2.30
Au 0.0000 0.0000 0.5000  2 Be 2.30
Au 0.5000 0.0000 0.0000  2 Be 2.30

Properties
calculated volume: 19.49 A^3/atom
total magnetic moment: 0.0 μB/f.u.
theoretical density: 10.90 g/cm³
energy of formation from the pure elements: -0.45 eV/atom
energy above the lowest structure with this stoichiometry: 63 meV per atom
SG: Pm-3m, No. 221
crystal system: cubic

Entry from the Alexandria database: crystalline CaBeAu2 at its relaxed geometry (PBE).

abc: 5.0718 5.0718 5.0718
angles: 135.97 117.28 79.79
With the nearest neighbours (Å) after each atom.
Sites, in units of the cell vectors:
Be 0.7500 0.2500 0.5000  4 Au 2.39
Ca 0.2500 0.7500 0.5000  8 Au 3.01-3.09, 4 Be 3.25
Au 0.9369 0.9369 0.0000  2 Be 2.39
Au 0.5631 0.5631 0.0000  2 Be 2.39

Properties
calculated volume: 19.53 A^3/atom
total magnetic moment: 0.0 μB/f.u.
theoretical density: 9.42 g/cm³
energy of formation from the pure elements: -0.33 eV/atom
SG: Immm, No. 71
crystal system: orthorhombic